# 1
# Pm4Ag3Au2

A relaxed Pm4Ag3Au2 crystal (GGA-PBE, Alexandria via LeMat-Bulk).

Values from the calculation:
Theoretical density (g cm⁻³): 9.72
Space group: P-3m1, No. 164
Magnetic moment (Bohr magnetons per cell): 0.00
Calculated formation energy (eV per atom): -0.4559

```
9
Lattice="5.085 0.000 0.000 -2.542 4.403 0.000 0.000 0.000 9.905" Properties=species:S:1:pos:R:3 pbc="T T T"
Pm 0.000 0.000 1.584
Pm 0.000 0.000 8.321
Pm 0.000 2.936 6.139
Pm 2.542 1.468 3.766
Ag 0.000 0.000 4.953
Ag 0.000 2.936 0.023
Ag 2.542 1.468 9.882
Au 0.000 2.936 3.072
Au 2.542 1.468 6.833
```

# 2
# PmPrAgAu

A relaxed PmPrAgAu crystal (GGA-PBE, Alexandria via LeMat-Bulk).

Values from the calculation:
Theoretical density (g cm⁻³): 9.41
Space group: P4mm, No. 99
Magnetic moment (Bohr magnetons per cell): 0.00
Excess energy over the best structure of this formula in the dataset (eV per formula unit): 0.00
Calculated formation energy (eV per atom): -0.5192

```
4
Lattice="3.729 0.000 0.000 0.000 3.729 0.000 0.000 0.000 7.497" Properties=species:S:1:pos:R:3 pbc="T T T"
Pm 0.000 0.000 0.000
Pr 0.000 0.000 3.665
Ag 1.864 1.864 5.648
Au 1.864 1.864 1.748
```

# 3
# PmPrAgAu

A relaxed PmPrAgAu crystal (GGA-PBE, Alexandria via LeMat-Bulk).

Values from the calculation:
Theoretical density (g cm⁻³): 9.42
Space group: F-43m, No. 216
Magnetic moment (Bohr magnetons per cell): 0.00
Excess energy over the best structure of this formula in the dataset (eV per formula unit): 0.05
Calculated formation energy (eV per atom): -0.5068

```
4
Lattice="0.000 3.734 3.734 3.734 0.000 3.734 3.734 3.734 0.000" Properties=species:S:1:pos:R:3 pbc="T T T"
Pm 0.000 0.000 0.000
Pr 3.734 3.734 3.734
Ag 5.601 5.601 5.601
Au 1.867 1.867 1.867
```

# 4
# PmAgPtAu

A relaxed PmAgPtAu crystal (GGA-PBE, Alexandria via LeMat-Bulk).

Values from the calculation:
Theoretical density (g cm⁻³): 12.82
Space group: F-43m, No. 216
Magnetic moment (Bohr magnetons per cell): 0.00
Calculated formation energy (eV per atom): -0.5931

```
4
Lattice="0.000 3.470 3.470 3.470 0.000 3.470 3.470 3.470 0.000" Properties=species:S:1:pos:R:3 pbc="T T T"
Pm 0.000 0.000 0.000
Ag 3.470 3.470 3.470
Pt 5.204 5.204 5.204
Au 1.735 1.735 1.735
```

Which of these has the highest calculated formation energy? Pm4Ag3Au2

Please write out number 2 again, unchanged.
# PmPrAgAu

A relaxed PmPrAgAu crystal (GGA-PBE, Alexandria via LeMat-Bulk).

Values from the calculation:
Theoretical density (g cm⁻³): 9.41
Space group: P4mm, No. 99
Magnetic moment (Bohr magnetons per cell): 0.00
Excess energy over the best structure of this formula in the dataset (eV per formula unit): 0.00
Calculated formation energy (eV per atom): -0.5192

```
4
Lattice="3.729 0.000 0.000 0.000 3.729 0.000 0.000 0.000 7.497" Properties=species:S:1:pos:R:3 pbc="T T T"
Pm 0.000 0.000 0.000
Pr 0.000 0.000 3.665
Ag 1.864 1.864 5.648
Au 1.864 1.864 1.748
```